Entry 1:
Crystalline CeB4H12 at its relaxed geometry, computed with GGA-PBE.

As for the volume: 6.78 A^3/atom. The crystal system is cubic. The value obtained for the total energy is -137.0 eV for the cell shown. The density of states at the Fermi level comes out at 3.868 states/eV/cell.

It has space group Im-3m (No. 229), with a = 6.130 Å, b = 6.130 Å, c = 6.130 Å, α = 90.00°, β = 90.00° and γ = 90.00°. The inequivalent atoms are Ce at (0.000, 0.000, 0.000), B at (0.250, 0.250, 0.250) and H at (0.000, 0.257, 0.257).

---

Entry 2:
Crystalline Cr2NiAu at its relaxed geometry, computed with GGA-PBE.

As for the volume: 13.99 A^3/atom. The crystal system is tetragonal. The calculation puts the offset from the most stable computed form at 19 meV per atom. The density of states at the Fermi level comes out at 15.466 states/eV/cell. The value obtained for the formation energy is 15.3 kJ/mol of atoms.

It has space group I-4m2 (No. 119), with a = 3.846 Å, b = 3.846 Å, c = 7.567 Å, α = 90.00°, β = 90.00° and γ = 90.00°. The inequivalent atoms are Cr at (0.000, 0.000, 0.000), Cr at (0.000, 0.500, 0.250), Ni at (0.000, 0.000, 0.500) and Au at (0.000, 0.500, 0.750).